1) TaZnFeNi | OQMD | GGA-PBE | optimized geometry; space-group type = F-43m, No. 216
1.0
0.0000 3.0085 3.0085
3.0085 0.0000 3.0085
3.0085 3.0085 0.0000
Fe Ni Ta Zn
1 1 1 1
Direct
0.7500 0.7500 0.7500
0.5000 0.5000 0.5000
0.2500 0.2500 0.2500
0.0000 0.0000 0.0000

2) TaZnFeNi | OQMD | GGA-PBE | optimized geometry; space-group type = F-43m, No. 216
1.0
-2.9224 2.7675 1.1979
-0.3706 3.6663 -2.0137
-3.3349 0.7236 -2.4472
Fe Ni Ta Zn
1 1 1 1
Direct
0.7500 0.7500 0.7500
0.2500 0.2500 0.2500
0.5000 0.5000 0.5000
0.0000 0.0000 0.0000

Stability verdict: 2), ahead by 23.4 kJ/mol of atoms

1) UFeNi | OQMD | GGA-PBE | optimized geometry; space-group type = F-43m, No. 216
1.0
0.0000 2.9437 2.9437
2.9437 0.0000 2.9437
2.9437 2.9437 0.0000
Fe Ni U
1 1 1
Direct
0.2500 0.2500 0.2500
0.7500 0.7500 0.7500
0.0000 0.0000 0.0000

2) UFeNi | OQMD | GGA-PBE | optimized geometry; space-group type = F-43m, No. 216
1.0
4.0202 -0.4224 -0.7155
2.3831 -1.9118 2.7420
1.5543 -3.7013 -0.8585
Fe Ni U
1 1 1
Direct
0.0000 0.0000 0.0000
0.7500 0.7500 0.7500
0.2500 0.2500 0.2500

Stability verdict: 2), ahead by 29.8 kJ/mol of atoms

1) YZnFeNi | OQMD | GGA-PBE | optimized geometry; space-group type = F-43m, No. 216
1.0
0.0000 3.1568 3.1568
3.1568 0.0000 3.1568
3.1568 3.1568 0.0000
Fe Ni Y Zn
1 1 1 1
Direct
0.7500 0.7500 0.7500
0.2500 0.2500 0.2500
0.5000 0.5000 0.5000
0.0000 0.0000 0.0000

2) YZnFeNi | OQMD | GGA-PBE | optimized geometry; space-group type = F-43m, No. 216
1.0
0.0000 3.2057 3.2057
3.2057 0.0000 3.2057
3.2057 3.2057 0.0000
Fe Ni Y Zn
1 1 1 1
Direct
0.7500 0.7500 0.7500
0.5000 0.5000 0.5000
0.2500 0.2500 0.2500
0.0000 0.0000 0.0000

Stability verdict: 1), ahead by 0.7 kJ/mol of atoms

1) ZrZnFeNi | OQMD | GGA-PBE | optimized geometry; space-group type = F-43m, No. 216
1.0
3.7988 2.1715 -0.2011
0.5323 3.6983 2.2860
2.6722 0.0644 3.4701
Fe Ni Zn Zr
1 1 1 1
Direct
0.7500 0.7500 0.7500
0.5000 0.5000 0.5000
0.0000 0.0000 0.0000
0.2500 0.2500 0.2500

2) ZrZnFeNi | OQMD | GGA-PBE | optimized geometry; space-group type = F-43m, No. 216
1.0
2.4260 -0.2291 3.5333
-1.2547 1.9777 3.5967
-1.3255 -2.3077 3.3675
Fe Ni Zn Zr
1 1 1 1
Direct
0.7500 0.7500 0.7500
0.2500 0.2500 0.2500
0.0000 0.0000 0.0000
0.5000 0.5000 0.5000

Stability verdict: 2), ahead by 13.5 kJ/mol of atoms

1) Np3Fe | OQMD | GGA-PBE | optimized geometry; space-group type = Pm-3m, No. 221
1.0
-0.9396 3.6746 -1.4216
-3.0251 -1.6092 -2.1601
-2.5244 0.5606 3.1176
Fe Np
1 3
Direct
0.0000 0.0000 0.0000
0.5000 0.5000 0.0000
0.5000 0.0000 0.5000
0.0000 0.5000 0.5000

2) Np3Fe | OQMD | GGA-PBE | optimized geometry; space-group type = Fm-3m, No. 225
1.0
-4.0963 -1.3595 -1.2476
-3.4216 0.2218 2.9031
-3.2761 3.0122 -0.6150
Fe Np
1 3
Direct
0.7500 0.7500 0.7500
0.0000 0.0000 0.0000
0.2500 0.2500 0.2500
0.5000 0.5000 0.5000

Stability verdict: 2), ahead by 52.1 kJ/mol of atoms

1) NpFeTc | OQMD | GGA-PBE | optimized geometry; space-group type = F-43m, No. 216
1.0
2.6573 1.3631 2.8806
-1.3851 2.2407 3.2060
-0.0495 -1.6410 3.8108
Fe Np Tc
1 1 1
Direct
0.0000 0.0000 0.0000
0.7500 0.7500 0.7500
0.2500 0.2500 0.2500

2) NpFeTc | OQMD | GGA-PBE | optimized geometry; space-group type = F-43m, No. 216
1.0
3.3675 -2.2644 1.1012
-0.3981 -3.1622 2.7426
0.3780 -3.9780 -1.3086
Fe Np Tc
1 1 1
Direct
0.5000 0.5000 0.5000
0.2500 0.2500 0.2500
0.0000 0.0000 0.0000

Stability verdict: 1), ahead by 26.3 kJ/mol of atoms